# Ac2CeGe, relaxed, DFT PBE-GGA
# Energy relative to the elements   0.133 eV/atom
# Calculated total energy   -4.5589 eV/atom
# Size of the total moment   5.99 μB per cell
# Calculated volume   38.5 Å³/atom
# Density of states at the Fermi level   10.6 states/eV/f.u.
# E above lowest polymorph   0.299 eV/atom
data_Ac2CeGe
_chemical_formula_sum 'Ac6 Ce3 Ge3'
_cell_length_a 3.9116
_cell_length_b 3.9116
_cell_length_c 34.8561
_cell_angle_alpha 90.00
_cell_angle_beta 90.00
_cell_angle_gamma 120.00
_symmetry_space_group_name_H-M 'R -3 m'
_symmetry_Int_Tables_number 166
_symmetry_space_group_name_Hall '-R 3 2"'
loop_
_atom_site_label
_atom_site_fract_x
_atom_site_fract_y
_atom_site_fract_z
_atom_site_occupancy
Ac1 0.0000 0.0000 0.1047 1
Ce1 0.0000 0.0000 0.0000 1
Ge1 0.0000 0.0000 0.5000 1

# CaErS2, relaxed, DFT PBE-GGA
# Calculated total energy   -5.7053 eV/atom
# Size of the total moment   0.00 μB per cell
# Calculated volume   21.8 Å³/atom
# Density of states at the Fermi level   1.1 states/eV/f.u.
# E above lowest polymorph   0.039 eV/atom
# Energy relative to the elements, uncorrected   -193.0 kJ per mole of atoms
data_CaErS2
_chemical_formula_sum 'Ca2 Er2 S4'
_cell_length_a 3.8872
_cell_length_b 3.8872
_cell_length_c 13.3218
_cell_angle_alpha 90.00
_cell_angle_beta 90.00
_cell_angle_gamma 120.00
_symmetry_space_group_name_H-M 'P 63/m m c'
_symmetry_Int_Tables_number 194
_symmetry_space_group_name_Hall '-P 6c 2c'
loop_
_atom_site_label
_atom_site_fract_x
_atom_site_fract_y
_atom_site_fract_z
_atom_site_occupancy
Ca1 0.3333 0.6667 0.2500 1
Er1 0.0000 0.0000 0.0000 1
S1 0.3333 0.6667 0.6182 1

# LaSmAu3, relaxed, DFT PBE-GGA
# Energy relative to the elements   -0.821 eV/atom
# Calculated total energy   -4.7165 eV/atom
# Size of the total moment   0.00 μB per cell
# Calculated volume   25.2 Å³/atom
# Density of states at the Fermi level   4.2 states/eV/f.u.
data_LaSmAu3
_chemical_formula_sum 'La4 Sm4 Au12'
_cell_length_a 3.777
_cell_length_b 28.640
_cell_length_c 4.663
_cell_angle_alpha 90.00
_cell_angle_beta 90.00
_cell_angle_gamma 90.00
_symmetry_space_group_name_H-M 'C m c m'
_symmetry_Int_Tables_number 63
_symmetry_space_group_name_Hall '-C 2c 2'
loop_
_atom_site_label
_atom_site_fract_x
_atom_site_fract_y
_atom_site_fract_z
_atom_site_occupancy
La1 0.000 0.073 0.250 1
Sm1 0.000 0.206 0.750 1
Au1 0.000 0.315 0.750 1
Au2 0.000 0.378 0.250 1
Au3 0.000 0.474 0.250 1

# ZnPbW4, relaxed, DFT PBE-GGA
# Energy relative to the elements   0.822 eV/atom
# Calculated total energy   -8.6441 eV/atom
# Size of the total moment   0.00 μB per cell
# Calculated volume   18.5 Å³/atom
# Density of states at the Fermi level   3.6 states/eV/f.u.
data_ZnPbW4
_chemical_formula_sum 'Zn4 Pb4 W16'
_cell_length_a 7.635
_cell_length_b 7.635
_cell_length_c 7.635
_cell_angle_alpha 90.00
_cell_angle_beta 90.00
_cell_angle_gamma 90.00
_symmetry_space_group_name_H-M 'F -4 3 m'
_symmetry_Int_Tables_number 216
_symmetry_space_group_name_Hall 'F -4 2 3'
loop_
_atom_site_label
_atom_site_fract_x
_atom_site_fract_y
_atom_site_fract_z
_atom_site_occupancy
Zn1 0.000 0.000 0.000 1
Pb1 0.250 0.250 0.750 1
W1 0.127 0.127 0.373 1

> What is the calculated volume in the third record?

25.2 Å³/atom